{"formula": "Y5AgS8", "functional": "PBE", "state": "optimized geometry", "cell": [[-1.597, 6.896, 1.528], [-3.613, -2.042, -5.935], [-1.910, -4.218, 5.568]], "species": ["S", "S", "S", "S", "S", "S", "S", "S", "Y", "Y", "Y", "Y", "Y", "Ag"], "fractional_positions": [[0.266, 0.378, 0.248], [0.130, 0.018, 0.752], [0.497, 0.257, 0.615], [0.743, 0.358, 0.240], [0.622, 0.870, 0.888], [0.642, 0.882, 0.385], [0.118, 0.503, 0.760], [0.982, 0.734, 0.112], [0.365, 0.981, 0.110], [0.500, 0.500, 0.000], [0.745, 0.635, 0.616], [0.871, 0.255, 0.890], [0.019, 0.129, 0.384], [0.250, 0.750, 0.500]], "space_group": "I-4", "dos_at_fermi_per_ev_atom": 0.0000, "raw_formation_energy_ev_per_fu": -25.499, "final_energy_ev_per_atom": -6.6922}